VASP calculation (PBE-GGA) on Sn2P2O9 after structural relaxation.

The structure in CIF format:
```
data_Sn2P2O9
_cell_length_a 14.440
_cell_length_b 6.590
_cell_length_c 8.070
_cell_angle_alpha 90.00
_cell_angle_beta 90.00
_cell_angle_gamma 90.00
_symmetry_space_group_name_H-M 'P n m a'
_symmetry_Int_Tables_number 62
_symmetry_space_group_name_Hall '-P 2ac 2n'
loop_
_atom_site_label
_atom_site_type_symbol
_atom_site_fract_x
_atom_site_fract_y
_atom_site_fract_z
Sn1 Sn 0.000 0.000 0.000
Sn2 Sn 0.123 0.250 0.354
P1 P 0.059 0.750 0.351
P2 P 0.194 0.750 0.917
O1 O 0.002 0.750 0.177
O2 O 0.010 0.250 0.508
O3 O 0.041 0.250 0.143
O4 O 0.120 0.562 0.346
O5 O 0.133 0.556 0.938
O6 O 0.223 0.250 0.542
O7 O 0.244 0.750 0.745
```

=====

VASP calculation (PBE-GGA) on Sn2P2O7 after structural relaxation.

The structure in CIF format:
```
data_Sn2P2O7
_cell_length_a 7.199
_cell_length_b 7.199
_cell_length_c 26.796
_cell_angle_alpha 90.00
_cell_angle_beta 90.00
_cell_angle_gamma 90.00
_symmetry_space_group_name_H-M 'P 41'
_symmetry_Int_Tables_number 76
_symmetry_space_group_name_Hall 'P 4w'
loop_
_atom_site_label
_atom_site_type_symbol
_atom_site_fract_x
_atom_site_fract_y
_atom_site_fract_z
Sn1 Sn 0.058 0.217 0.000
Sn2 Sn 0.127 0.423 0.628
Sn3 Sn 0.173 0.657 0.884
Sn4 Sn 0.375 0.609 0.247
P1 P 0.066 0.218 0.847
P2 P 0.069 0.741 0.005
P3 P 0.146 0.456 0.759
P4 P 0.289 0.314 0.345
O1 O 0.009 0.340 0.797
O2 O 0.015 0.921 0.979
O3 O 0.034 0.473 0.711
O4 O 0.049 0.822 0.578
O5 O 0.099 0.358 0.530
O6 O 0.113 0.840 0.373
O7 O 0.134 0.370 0.381
O8 O 0.178 0.572 0.119
O9 O 0.179 0.607 0.972
O10 O 0.186 0.644 0.785
O11 O 0.187 0.347 0.879
O12 O 0.188 0.204 0.300
O13 O 0.322 0.336 0.753
O14 O 0.390 0.483 0.322
```

Summary:
- Polymorph energy (0 for the lowest one): 0.276 eV/f.u.

=====

VASP calculation (PBE-GGA) on SnP2O2 after structural relaxation.

The structure in CIF format:
```
data_SnP2O2
_cell_length_a 3.834
_cell_length_b 3.834
_cell_length_c 6.101
_cell_angle_alpha 90.00
_cell_angle_beta 90.00
_cell_angle_gamma 90.00
_symmetry_space_group_name_H-M 'P 4/m m m'
_symmetry_Int_Tables_number 123
_symmetry_space_group_name_Hall '-P 4 2'
loop_
_atom_site_label
_atom_site_type_symbol
_atom_site_fract_x
_atom_site_fract_y
_atom_site_fract_z
Sn1 Sn 0.000 0.000 0.000
P1 P 0.000 0.000 0.500
P2 P 0.500 0.500 0.500
O1 O 0.000 0.500 0.000
```

Summary:
- Polymorph energy (0 for the lowest one): 2.602 eV/f.u.

=====

| no. | N(E_F) (states/eV/f.u.) | size of the total moment (μB per atom) | raw formation energy (eV/atom) |
| --- | --- | --- | --- |
| 1 | 0.000 | 0.0015 | -1.8901 |
| 2 | 0.000 | 0.0000 | -1.9021 |
| 3 | 2.422 | 0.1578 | 0.0358 |